1.
VASP calculation (PBE) on a geometry-optimized ErCo4C structure.

E	-7.00	eV/atom
total magnetic moment	4.75	μB/cell
ΔH_f (0 K)	0.03	eV/atom

a b c (Å): 3.421 5.911 7.131
angles (deg): 90.00 103.88 90.00
Last column: magnetic moment on the atom in μB.
Atoms (fractional coordinates):
Er 0.113 0.250 0.225  -0.22
Er 0.887 0.750 0.775  -0.22
Co 0.500 0.500 0.000  1.27
Co 0.500 0.000 0.000  1.27
Co 0.695 0.945 0.389  0.24
Co 0.305 0.055 0.611  0.24
Co 0.305 0.445 0.611  0.24
Co 0.695 0.555 0.389  0.24
Co 0.093 0.750 0.186  0.89
Co 0.907 0.250 0.814  0.89
C 0.233 0.750 0.466  -0.03
C 0.767 0.250 0.534  -0.03


2.
VASP calculation (PBE) on a geometry-optimized Er2CoC4 structure.

E	-7.88	eV/atom
total magnetic moment	0.64	μB/cell
ΔH_f (0 K)	-0.29	eV/atom

a b c (Å): 5.016 6.530 6.530
angles (deg): 69.36 67.42 67.42
Last column: magnetic moment on the atom in μB.
Atoms (fractional coordinates):
C 0.128 0.214 0.530  0.00
C 0.872 0.786 0.470  0.00
C 0.628 0.530 0.214  0.00
C 0.372 0.470 0.786  0.00
C 0.079 0.091 0.751  0.01
C 0.921 0.909 0.249  0.01
C 0.579 0.751 0.091  0.01
C 0.421 0.249 0.909  0.01
Co 0.250 0.000 0.000  0.26
Co 0.750 0.000 0.000  0.26
Er 0.355 0.804 0.487  0.02
Er 0.645 0.196 0.513  0.02
Er 0.855 0.487 0.804  0.02
Er 0.145 0.513 0.196  0.02


3.
VASP calculation (PBE) on a geometry-optimized Er3CoC3 structure.

E	-7.17	eV/atom
total magnetic moment	0.00	μB/cell
ΔH_f (0 K)	-0.24	eV/atom

a b c (Å): 4.997 6.588 6.590
angles (deg): 100.68 90.00 90.00
Atoms (fractional coordinates):
Er 0.750 0.593 0.837
Er 0.750 0.108 0.892
Er 0.750 0.163 0.407
Er 0.250 0.407 0.163
Er 0.250 0.892 0.108
Er 0.250 0.837 0.593
Co 0.250 0.303 0.698
Co 0.750 0.697 0.302
C 0.250 0.572 0.834
C 0.250 0.122 0.878
C 0.250 0.167 0.428
C 0.750 0.428 0.166
C 0.750 0.878 0.122
C 0.750 0.833 0.572


4.
VASP calculation (PBE) on a geometry-optimized ErCoC structure.

E	-7.10	eV/atom
polymorph energy (0 for the lowest one)	215	meV per atom
total magnetic moment	0.00	μB/cell
ΔH_f (0 K)	-0.13	eV/atom

a b c (Å): 3.871 3.441 3.441
angles (deg): 120.00 90.00 90.00
Atoms (fractional coordinates):
C 0.167 0.000 0.000
Co 0.167 0.333 0.667
Er 0.667 0.667 0.333